1.
NaSb5O13: PBEsol geometry, SCAN.

Calculated values
* formation energy from raw total energies: -1.54 eV/atom

Geometry as CIF:
```
data_NaSb5O13
_chemical_formula_sum 'Na4 Sb20 O52'
_cell_length_a 16.614
_cell_length_b 8.953
_cell_length_c 6.616
_cell_angle_alpha 90.00
_cell_angle_beta 90.00
_cell_angle_gamma 90.00
_space_group_name_H-M_alt 'A m a 2'
_space_group_IT_number 40
_space_group_name_Hall 'A 2 -2a'
loop_
_atom_site_label
_atom_site_fract_x
_atom_site_fract_y
_atom_site_fract_z
Na1 0.250 0.126 0.000
Sb1 0.000 0.000 0.001
Sb2 0.080 0.385 0.001
Sb3 0.139 0.268 0.501
O1 0.000 0.000 0.312
O2 0.000 0.000 0.690
O3 0.011 0.274 0.501
O4 0.115 0.487 0.501
O5 0.136 0.267 0.201
O6 0.136 0.267 0.800
O7 0.155 0.052 0.501
O8 0.250 0.331 0.501
```

=====

2.
Na2Sb3O8: PBEsol geometry, SCAN.

Calculated values
* formation energy from raw total energies: -1.58 eV/atom

Geometry as CIF:
```
data_Na2Sb3O8
_chemical_formula_sum 'Na8 Sb12 O32'
_cell_length_a 9.246
_cell_length_b 9.246
_cell_length_c 9.246
_cell_angle_alpha 90.00
_cell_angle_beta 90.00
_cell_angle_gamma 90.00
_space_group_name_H-M_alt 'P 43 3 2'
_space_group_IT_number 212
_space_group_name_Hall 'P 4acd 2ab 3'
loop_
_atom_site_label
_atom_site_fract_x
_atom_site_fract_y
_atom_site_fract_z
Na1 0.009 0.009 0.009
Sb1 0.116 0.134 0.625
O1 0.079 0.148 0.408
O2 0.115 0.615 0.885
```

=====

3.
Na3SbO: PBEsol geometry, SCAN.

Calculated values
* formation energy from raw total energies: -0.70 eV/atom

Geometry as CIF:
```
data_Na3SbO
_chemical_formula_sum 'Na3 Sb1 O1'
_cell_length_a 4.651
_cell_length_b 4.651
_cell_length_c 4.651
_cell_angle_alpha 90.00
_cell_angle_beta 90.00
_cell_angle_gamma 90.00
_space_group_name_H-M_alt 'P m -3 m'
_space_group_IT_number 221
_space_group_name_Hall '-P 4 2 3'
loop_
_atom_site_label
_atom_site_fract_x
_atom_site_fract_y
_atom_site_fract_z
Na1 0.000 0.000 0.500
Sb1 0.500 0.500 0.500
O1 0.000 0.000 0.000
```

=====

4.
Na2Sb4O11: PBEsol geometry, SCAN.

Calculated values
* E above lowest polymorph: 70.1 meV/atom
* formation energy from raw total energies: -1.57 eV/atom

Geometry as CIF:
```
data_Na2Sb4O11
_chemical_formula_sum 'Na8 Sb16 O44'
_cell_length_a 19.879
_cell_length_b 7.577
_cell_length_c 7.215
_cell_angle_alpha 90.00
_cell_angle_beta 96.19
_cell_angle_gamma 90.00
_space_group_name_H-M_alt 'C 1 2/m 1'
_space_group_IT_number 12
_space_group_name_Hall '-C 2y'
loop_
_atom_site_label
_atom_site_fract_x
_atom_site_fract_y
_atom_site_fract_z
Na1 0.039 0.000 0.268
Na2 0.231 0.500 0.087
Sb1 0.070 0.500 0.102
Sb2 0.076 0.500 0.620
Sb3 0.174 0.243 0.442
O1 0.000 0.325 0.000
O2 0.023 0.500 0.346
O3 0.089 0.244 0.570
O4 0.118 0.500 0.875
O5 0.129 0.305 0.193
O6 0.156 0.000 0.361
O7 0.168 0.500 0.522
O8 0.239 0.205 0.669
```

=====

5.
Na2Sb4O11: PBEsol geometry, SCAN.

Calculated values
* E above lowest polymorph: 0.0 meV/atom
* formation energy from raw total energies: -1.64 eV/atom

Geometry as CIF:
```
data_Na2Sb4O11
_chemical_formula_sum 'Na12 Sb24 O66'
_cell_length_a 6.2600
_cell_length_b 6.2600
_cell_length_c 35.7804
_cell_angle_alpha 90.00
_cell_angle_beta 90.00
_cell_angle_gamma 120.00
_space_group_name_H-M_alt 'R -3 c'
_space_group_IT_number 167
_space_group_name_Hall '-R 3 2"c'
loop_
_atom_site_label
_atom_site_fract_x
_atom_site_fract_y
_atom_site_fract_z
Na1 0.0000 0.0000 0.1680
Sb1 0.0000 0.0000 0.0000
Sb2 0.0000 0.3608 0.2500
O1 0.0000 0.0000 0.0942
O2 0.0000 0.2594 0.7500
O3 0.0214 0.2860 0.5288
```

=====

6.
NaSb3O8: PBEsol geometry, SCAN.

Calculated values
* E above lowest polymorph: 0.0 meV/atom
* formation energy from raw total energies: -1.59 eV/atom

Geometry as CIF:
```
data_NaSb3O8
_chemical_formula_sum 'Na2 Sb6 O16'
_cell_length_a 5.711
_cell_length_b 4.825
_cell_length_c 10.580
_cell_angle_alpha 90.00
_cell_angle_beta 97.53
_cell_angle_gamma 90.00
_space_group_name_H-M_alt 'P 1 21/c 1'
_space_group_IT_number 14
_space_group_name_Hall '-P 2ybc'
loop_
_atom_site_label
_atom_site_fract_x
_atom_site_fract_y
_atom_site_fract_z
Na1 0.000 0.000 0.000
Sb1 0.242 0.023 0.750
Sb2 0.500 0.000 0.500
O1 0.001 0.706 0.315
O2 0.233 0.648 0.080
O3 0.296 0.208 0.916
O4 0.483 0.724 0.827
```

=====

7.
Na2Sb4O7: PBEsol geometry, SCAN.

Calculated values
* formation energy from raw total energies: -1.56 eV/atom

Geometry as CIF:
```
data_Na2Sb4O7
_chemical_formula_sum 'Na8 Sb16 O28'
_cell_length_a 11.116
_cell_length_b 16.617
_cell_length_c 5.687
_cell_angle_alpha 90.00
_cell_angle_beta 116.42
_cell_angle_gamma 90.00
_space_group_name_H-M_alt 'C 1 2/c 1'
_space_group_IT_number 15
_space_group_name_Hall '-C 2yc'
loop_
_atom_site_label
_atom_site_fract_x
_atom_site_fract_y
_atom_site_fract_z
Na1 0.083 0.093 0.074
Sb1 0.143 0.246 0.681
Sb2 0.208 0.430 0.277
O1 0.000 0.194 0.750
O2 0.138 0.137 0.491
O3 0.199 0.012 0.901
O4 0.203 0.316 0.044
```

=====

8.
NaSb3O8: PBEsol geometry, SCAN.

Calculated values
* E above lowest polymorph: 75.6 meV/atom
* formation energy from raw total energies: -1.51 eV/atom

Geometry as CIF:
```
data_NaSb3O8
_chemical_formula_sum 'Na4 Sb12 O32'
_cell_length_a 7.124
_cell_length_b 10.330
_cell_length_c 7.356
_cell_angle_alpha 90.00
_cell_angle_beta 90.00
_cell_angle_gamma 90.00
_space_group_name_H-M_alt 'I b a m'
_space_group_IT_number 72
_space_group_name_Hall '-I 2 2c'
loop_
_atom_site_label
_atom_site_fract_x
_atom_site_fract_y
_atom_site_fract_z
Na1 0.000 0.000 0.250
Sb1 0.000 0.500 0.250
Sb2 0.238 0.254 0.000
O1 0.012 0.164 0.500
O2 0.115 0.424 0.000
O3 0.202 0.363 0.294
```

=====

9.
NaSb5O8: PBEsol geometry, SCAN.

Calculated values
* formation energy from raw total energies: -1.47 eV/atom

Geometry as CIF:
```
data_NaSb5O8
_chemical_formula_sum 'Na2 Sb10 O16'
_cell_length_a 7.067
_cell_length_b 7.300
_cell_length_c 9.699
_cell_angle_alpha 73.22
_cell_angle_beta 73.27
_cell_angle_gamma 84.02
_space_group_name_H-M_alt 'P -1'
_space_group_IT_number 2
_space_group_name_Hall '-P 1'
loop_
_atom_site_label
_atom_site_fract_x
_atom_site_fract_y
_atom_site_fract_z
Na1 0.244 0.070 0.036
Sb1 0.042 0.800 0.650
Sb2 0.115 0.258 0.659
Sb3 0.249 0.566 0.030
Sb4 0.454 0.674 0.276
Sb5 0.467 0.107 0.326
O1 0.082 0.976 0.763
O2 0.155 0.710 0.195
O3 0.176 0.038 0.428
O4 0.189 0.310 0.173
O5 0.240 0.326 0.794
O6 0.441 0.147 0.559
O7 0.465 0.953 0.178
O8 0.499 0.393 0.923
```

=====

10.
NaSbTe2O: PBEsol geometry, SCAN.

Calculated values
* formation energy from raw total energies: 0.33 eV/atom

Geometry as CIF:
```
data_NaSbTe2O
_chemical_formula_sum 'Na1 Sb1 Te2 O1'
_cell_length_a 5.488
_cell_length_b 5.488
_cell_length_c 4.015
_cell_angle_alpha 90.00
_cell_angle_beta 90.00
_cell_angle_gamma 90.00
_space_group_name_H-M_alt 'P 4/m m m'
_space_group_IT_number 123
_space_group_name_Hall '-P 4 2'
loop_
_atom_site_label
_atom_site_fract_x
_atom_site_fract_y
_atom_site_fract_z
Na1 0.000 0.000 0.000
Sb1 0.500 0.500 0.500
Te1 0.000 0.500 0.000
O1 0.000 0.000 0.500
```

=====

11.
NaSc2O: PBEsol geometry, SCAN.

Calculated values
* formation energy from raw total energies: -1.25 eV/atom

Geometry as CIF:
```
data_NaSc2O
_chemical_formula_sum 'Na4 Sc8 O4'
_cell_length_a 6.495
_cell_length_b 6.495
_cell_length_c 8.848
_cell_angle_alpha 90.00
_cell_angle_beta 90.00
_cell_angle_gamma 90.00
_space_group_name_H-M_alt 'I -4 2 d'
_space_group_IT_number 122
_space_group_name_Hall 'I -4 2bw'
loop_
_atom_site_label
_atom_site_fract_x
_atom_site_fract_y
_atom_site_fract_z
Na1 0.000 0.000 0.000
Sc1 0.081 0.250 0.625
O1 0.000 0.000 0.500
```

=====

12.
Na3ScSi2O7: PBEsol geometry, SCAN.

Calculated values
* formation energy from raw total energies: -2.91 eV/atom

Geometry as CIF:
```
data_Na3ScSi2O7
_chemical_formula_sum 'Na12 Sc4 Si8 O28'
_cell_length_a 9.361
_cell_length_b 13.090
_cell_length_c 5.355
_cell_angle_alpha 90.00
_cell_angle_beta 90.00
_cell_angle_gamma 90.00
_space_group_name_H-M_alt 'P n m a'
_space_group_IT_number 62
_space_group_name_Hall '-P 2ac 2n'
loop_
_atom_site_label
_atom_site_fract_x
_atom_site_fract_y
_atom_site_fract_z
Na1 0.019 0.250 0.016
Na2 0.154 0.593 0.520
Sc1 0.000 0.000 0.000
Si1 0.176 0.131 0.513
O1 0.090 0.058 0.319
O2 0.124 0.250 0.439
O3 0.129 0.107 0.800
O4 0.153 0.620 0.972
```

=====

Q: Which total magnetization values were calculated for the entries above? A: 0.00 0.00 0.00 0.00 0.00 0.00 0.00 0.00 0.00 2.25 4.52 0.00, in μB/cell.